# Nb2ReHPt

Crystalline Nb2ReHPt at its relaxed geometry (PBE, Alexandria).

SG = P4/mmm
offset from the most stable computed form = 0.000 eV/atom
DFT total energy = -8.6534 eV/atom
size of the total moment = 0.00 μB/atom

Cell and atoms, written as POSCAR:
```
Nb2ReHPt
1.0
4.157 0.000 0.000
0.000 4.157 0.000
0.000 0.000 3.943
Nb Re H Pt
2 1 1 1
direct
0.000 0.500 0.000
0.500 0.000 0.000
0.000 0.000 0.500
0.000 0.000 0.000
0.500 0.500 0.500
```